Entry from Alexandria: crystalline YZnIn at its relaxed geometry (GGA-PBE).

Results
Formation enthalpy at 0 K   -1.02 eV per formula unit
Spin magnetization   0.9 Bohr magnetons per cell
Symmetry   No. 129

abc: 4.297 4.297 7.631
angles: 90.00 90.00 90.00
Site moments in Bohr magnetons follow the coordinates.
Fractional positions:
Y1 0.000 0.500 0.156  0.18
Y2 0.500 0.000 0.844  0.18
Zn1 0.000 0.500 0.760  0.01
Zn2 0.500 0.000 0.240  0.01
In1 0.000 0.000 0.500  0.00
In2 0.500 0.500 0.500  0.00